<a>
DFT (PBE-GGA) results for crystalline MgMn2Tc2 at its relaxed geometry.

Calculated values
- SG: I4/mmm, No. 139
- V: 16.1 A^3/atom
- Density of states at the Fermi level: 4.59 states/eV/cell

Unit cell a=4.0146 b=4.0146 c=5.7361 alpha=69.52 beta=69.52 gamma=90.00
Last column: nearest neighbours and their distance in Å.
Fractional coordinates of all 5 atoms:
Mg 0.0000 0.0000 0.0000  8 Tc 3.09, 8 Mn 3.20
Mn 0.7500 0.2500 0.5000  4 Tc 2.37
Mn 0.2500 0.7500 0.5000  4 Tc 2.37
Tc 0.3768 0.3768 0.2463  4 Mn 2.37, 1 Tc 2.46
Tc 0.6232 0.6232 0.7537  4 Mn 2.37, 1 Tc 2.46


<b>
DFT (PBE-GGA) results for crystalline MgMn2Tc2 at its relaxed geometry.

Calculated values
- SG: P4/mbm, No. 127
- V: 14.3 A^3/atom
- Density of states at the Fermi level: 9.64 states/eV/cell

Unit cell a=7.3279 b=7.3279 c=2.6660 alpha=90.00 beta=90.00 gamma=90.00
Last column: nearest neighbours and their distance in Å.
Fractional coordinates of all 10 atoms:
Mg 0.0000 0.0000 0.0000  2 Mg 2.67, 4 Tc 2.88
Mg 0.5000 0.5000 0.0000  2 Mg 2.67, 4 Tc 2.88
Mn 0.1625 0.6625 0.5000  6 Tc 2.53-2.54, 2 Mn 2.67
Mn 0.6625 0.8375 0.5000  6 Tc 2.53-2.54, 2 Mn 2.67
Mn 0.8375 0.3375 0.5000  6 Tc 2.53-2.54, 2 Mn 2.67
Mn 0.3375 0.1625 0.5000  6 Tc 2.53-2.54, 2 Mn 2.67
Tc 0.3709 0.8709 0.0000  6 Mn 2.53-2.54, 3 Tc 2.67-2.68
Tc 0.8709 0.6291 0.0000  6 Mn 2.53-2.54, 3 Tc 2.67-2.68
Tc 0.6291 0.1291 0.0000  6 Mn 2.53-2.54, 3 Tc 2.67-2.68
Tc 0.1291 0.3709 0.0000  6 Mn 2.53-2.54, 3 Tc 2.67-2.68


Most stable structure - <b>; separation to the second - 125 meV per atom.


<a>
DFT (PBE-GGA) results for crystalline MgMn2Te at its relaxed geometry.

Calculated values
- SG: P2/m, No. 10
- V: 20.4 A^3/atom
- Density of states at the Fermi level: 1.79 states/eV/cell

Unit cell a=4.5929 b=3.0591 c=5.9491 alpha=102.41 beta=90.00 gamma=90.00
Last column: nearest neighbours and their distance in Å.
Fractional coordinates of all 4 atoms:
Mg 0.5000 0.7500 0.7500  4 Mn 2.75, 2 Te 3.04, 2 Mg 3.06
Mn 0.0000 0.1479 0.9499  1 Mn 2.59, 2 Mg 2.75, 2 Te 2.88
Mn 0.0000 0.3521 0.5501  1 Mn 2.59, 2 Mg 2.75, 2 Te 2.88
Te 0.5000 0.2500 0.2500  4 Mn 2.88, 2 Mg 3.04, 2 Te 3.06


<b>
DFT (PBE-GGA) results for crystalline MgMn2Te at its relaxed geometry.

Calculated values
- SG: C2/m, No. 12
- V: 18.9 A^3/atom
- Density of states at the Fermi level: 3.19 states/eV/cell

Unit cell a=5.5829 b=5.5829 c=3.0838 alpha=74.66 beta=74.66 gamma=115.36
Last column: nearest neighbours and their distance in Å.
Fractional coordinates of all 4 atoms:
Mg 0.0000 0.5000 0.5000  4 Mn 2.81, 4 Te 2.98-3.05, 2 Mg 3.08
Mn 0.0000 0.0000 0.0000  2 Mg 2.81, 2 Te 2.81, 6 Mn 2.98-3.08
Mn 0.5000 0.5000 0.0000  2 Te 2.81, 2 Mg 2.81, 6 Mn 2.98-3.08
Te 0.5000 0.0000 0.5000  4 Mn 2.81, 4 Mg 2.98-3.05, 2 Te 3.08


Most stable structure - <a>; separation to the second - 54 meV per atom.


<a>
DFT (PBE-GGA) results for crystalline MgMn2Te at its relaxed geometry.

Calculated values
- SG: R-3m, No. 166
- V: 19.9 A^3/atom
- Density of states at the Fermi level: 2.30 states/eV/cell

Unit cell a=8.6224 b=8.6224 c=8.6224 alpha=22.10 beta=22.10 gamma=22.10
Last column: nearest neighbours and their distance in Å.
Fractional coordinates of all 4 atoms:
Mg 0.7500 0.7500 0.7500  6 Mn 2.91
Mn 0.9965 0.9965 0.9965  3 Te 2.77, 3 Mg 2.91
Mn 0.5035 0.5035 0.5035  3 Te 2.77, 3 Mg 2.91
Te 0.2500 0.2500 0.2500  6 Mn 2.77


<b>
DFT (PBE-GGA) results for crystalline MgMn2Te at its relaxed geometry.

Calculated values
- SG: Fm-3m, No. 225
- V: 14.6 A^3/atom
- Density of states at the Fermi level: 6.37 states/eV/cell

Unit cell a=4.3531 b=4.3531 c=4.3531 alpha=60.00 beta=60.00 gamma=60.00
Last column: nearest neighbours and their distance in Å.
Fractional coordinates of all 4 atoms:
Mg 0.0000 0.0000 0.0000  8 Mn 2.67
Te 0.5000 0.5000 0.5000  8 Mn 2.67
Mn 0.2500 0.2500 0.2500  4 Te 2.67, 4 Mg 2.67
Mn 0.7500 0.7500 0.7500  4 Mg 2.67, 4 Te 2.67


<c>
DFT (PBE-GGA) results for crystalline MgMn2Te at its relaxed geometry.

Calculated values
- SG: P4mm, No. 99
- V: 18.9 A^3/atom
- Density of states at the Fermi level: 3.25 states/eV/cell

Unit cell a=3.5882 b=3.5882 c=5.8742 alpha=90.00 beta=90.00 gamma=90.00
Last column: nearest neighbours and their distance in Å.
Fractional coordinates of all 4 atoms:
Mg 0.5000 0.5000 0.7704  5 Mn 2.72-2.92
Mn 0.0000 0.0000 0.0164  1 Te 2.72, 4 Mn 2.84, 4 Mg 2.92
Mn 0.5000 0.5000 0.2343  1 Mg 2.72, 4 Mn 2.84, 4 Te 2.92
Te 0.0000 0.0000 0.4789  5 Mn 2.72-2.92


<d>
DFT (PBE-GGA) results for crystalline MgMn2Te at its relaxed geometry.

Calculated values
- SG: I-4m2, No. 119
- V: 17.9 A^3/atom
- Density of states at the Fermi level: 2.45 states/eV/cell

Unit cell a=5.2938 b=5.2938 c=4.0016 alpha=67.79 beta=67.79 gamma=44.39
Last column: nearest neighbours and their distance in Å.
Fractional coordinates of all 4 atoms:
Mg 0.2499 0.2499 0.2501  8 Mn 2.83-3.00, 4 Te 3.00
Mn 0.0001 0.0001 0.0000  4 Te 2.83, 4 Mg 3.00, 4 Mn 3.00
Mn 0.7501 0.7501 0.7498  4 Mg 2.83, 4 Te 3.00, 4 Mn 3.00
Te 0.4999 0.4999 0.5002  8 Mn 2.83-3.00, 4 Mg 3.00


Most stable structure - <c>; separation to the second - 22 meV per atom.